DFT (PBE) results for a relaxed Er3PdO6 crystal.

a b c (Å): 8.796 10.835 5.445
angles (deg): 90.00 90.00 90.00
Space group Cmc2_1 (No. 36)
Unique sites:
1 Er 0.000 0.102 0.000 (multiplicity 4)
2 Er 0.207 0.384 0.055 (multiplicity 8)
3 Pd 0.000 0.361 0.560 (multiplicity 4)
4 O 0.000 0.278 0.236 (multiplicity 4)
5 O 0.000 0.477 0.864 (multiplicity 4)
6 O 0.150 0.243 0.766 (multiplicity 8)
7 O 0.160 0.017 0.278 (multiplicity 8)

Results
**Total energy**: -7.583 eV/atom

DFT (PBE) results for a relaxed MgScZnNi crystal.

a b c (Å): 6.344 6.344 6.344
angles (deg): 90.00 90.00 90.00
Space group F-43m (No. 216)
Unique sites:
1 Mg 0.000 0.000 0.000 (multiplicity 4)
2 Sc 0.250 0.250 0.750 (multiplicity 4)
3 Zn 0.000 0.000 0.500 (multiplicity 4)
4 Ni 0.250 0.250 0.250 (multiplicity 4)

Results
**Energy above the lowest structure with this stoichiometry**: 145 meV per atom

DFT (PBE) results for a relaxed RbAlBAu crystal.

a b c (Å): 6.812 6.812 6.812
angles (deg): 90.00 90.00 90.00
Space group F-43m (No. 216)
Unique sites:
1 Rb 0.000 0.000 0.000 (multiplicity 4)
2 Al 0.250 0.250 0.750 (multiplicity 4)
3 B 0.250 0.250 0.250 (multiplicity 4)
4 Au 0.000 0.000 0.500 (multiplicity 4)

Results
**Energy above the lowest structure with this stoichiometry**: 22 meV per atom

DFT (PBE) results for a relaxed NdDyZnCo2 crystal.

a b c (Å): 4.130 5.506 8.297
angles (deg): 90.00 90.00 90.00
Space group Imm2 (No. 44)
Unique sites:
1 Nd 0.000 0.000 0.000 (multiplicity 2)
2 Dy 0.000 0.000 0.418 (multiplicity 2)
3 Zn 0.000 0.500 0.208 (multiplicity 2)
4 Co 0.000 0.291 0.713 (multiplicity 4)

Results
**E_form**: -0.229 eV/atom

DFT (PBE) results for a relaxed Ho2Tm2TlNi2Ge4 crystal.

a b c (Å): 15.507 4.210 7.017
angles (deg): 90.00 108.83 90.00
Space group C2/m (No. 12)
Unique sites:
1 Ho 0.092 0.000 0.391 (multiplicity 4)
2 Tm 0.156 0.000 0.938 (multiplicity 4)
3 Tl 0.000 0.500 0.000 (multiplicity 2)
4 Ni 0.217 0.500 0.645 (multiplicity 4)
5 Ge 0.066 0.500 0.661 (multiplicity 4)
6 Ge 0.205 0.500 0.271 (multiplicity 4)

Results
**Total energy**: -5.284 eV/atom

DFT (PBE) results for a relaxed PrEr2In3AgPd2 crystal.

a b c (Å): 3.833 13.658 7.828
angles (deg): 90.00 90.00 90.00
Space group Amm2 (No. 38)
Unique sites:
1 Pr 0.000 0.000 0.000 (multiplicity 2)
2 Er 0.000 0.205 0.386 (multiplicity 4)
3 In 0.500 0.000 0.327 (multiplicity 2)
4 In 0.500 0.136 0.722 (multiplicity 4)
5 Ag 0.000 0.000 0.588 (multiplicity 2)
6 Pd 0.500 0.171 0.092 (multiplicity 4)

Results
**Total energy**: -4.592 eV/atom

DFT (PBE) results for a relaxed TaTe2 crystal.

a b c (Å): 3.6935 3.6935 21.7729
angles (deg): 90.00 90.00 120.00
Space group R3m (No. 160, hexagonal axes)
Unique sites:
1 Ta 0.0000 0.0000 0.0000 (multiplicity 3)
2 Te 0.0000 0.0000 0.2491 (multiplicity 3)
3 Te 0.0000 0.0000 0.4177 (multiplicity 3)

Results
**Total energy**: -6.375 eV/atom

DFT (PBE) results for a relaxed Sr4HfSc2 crystal.

a b c (Å): 3.5944 3.5944 21.8524
angles (deg): 90.00 90.00 120.00
Space group P-3m1 (No. 164)
Unique sites:
1 Sr 0.3333 0.6667 0.3690 (multiplicity 2)
2 Sr 0.3333 0.6667 0.9197 (multiplicity 2)
3 Hf 0.0000 0.0000 0.5000 (multiplicity 1)
4 Sc 0.3333 0.6667 0.2160 (multiplicity 2)

Results
**Total energy**: -3.637 eV/atom

DFT (PBE) results for a relaxed CsRb3Bi2Au2 crystal.

a b c (Å): 6.970 7.148 6.998
angles (deg): 90.00 109.21 90.00
Space group Pm (No. 6)
Unique sites:
1 Cs 0.000 0.000 0.000 (multiplicity 1)
2 Rb 0.301 0.500 0.975 (multiplicity 1)
3 Rb 0.637 0.500 0.638 (multiplicity 1)
4 Rb 0.662 0.000 0.337 (multiplicity 1)
5 Bi 0.417 0.000 0.748 (multiplicity 1)
6 Bi 0.885 0.500 0.228 (multiplicity 1)
7 Au 0.148 0.252 0.494 (multiplicity 2)

Results
**Total energy**: -2.724 eV/atom

DFT (PBE) results for a relaxed BaBeOs crystal.

a b c (Å): 6.492 6.492 6.492
angles (deg): 90.00 90.00 90.00
Space group F-43m (No. 216)
Unique sites:
1 Ba 0.000 0.000 0.000 (multiplicity 4)
2 Be 0.000 0.000 0.500 (multiplicity 4)
3 Os 0.250 0.250 0.250 (multiplicity 4)

Results
**Energy above the lowest structure with this stoichiometry**: 0 meV per atom

DFT (PBE) results for a relaxed BW5 crystal.

a b c (Å): 5.0173 5.0173 4.8606
angles (deg): 90.00 90.00 120.00
Space group P6/mmm (No. 191)
Unique sites:
1 B 0.0000 0.0000 0.0000 (multiplicity 1)
2 W 0.0000 0.5000 0.5000 (multiplicity 3)
3 W 0.3333 0.6667 0.0000 (multiplicity 2)

Results
**Total energy**: -10.496 eV/atom

DFT (PBE) results for a relaxed NbTlRe2 crystal.

a b c (Å): 6.512 6.512 6.512
angles (deg): 90.00 90.00 90.00
Space group F-43m (No. 216)
Unique sites:
1 Nb 0.000 0.000 0.000 (multiplicity 4)
2 Tl 0.250 0.250 0.750 (multiplicity 4)
3 Re 0.000 0.000 0.500 (multiplicity 4)
4 Re 0.250 0.250 0.250 (multiplicity 4)

Results
**Total energy**: -8.594 eV/atom

DFT (PBE) results for a relaxed CdBiMo4N2 crystal.

a b c (Å): 3.2573 3.2573 13.5582
angles (deg): 90.00 90.00 120.00
Space group P-6m2 (No. 187)
Unique sites:
1 Cd 0.0000 0.0000 0.0000 (multiplicity 1)
2 Bi 0.6667 0.3333 0.5000 (multiplicity 1)
3 Mo 0.0000 0.0000 0.3185 (multiplicity 2)
4 Mo 0.6667 0.3333 0.1725 (multiplicity 2)
5 N 0.3333 0.6667 0.2510 (multiplicity 2)

Results
**Total energy**: -7.965 eV/atom

DFT (PBE) results for a relaxed U2SnIr2 crystal.

a b c (Å): 7.634 7.634 7.152
angles (deg): 90.00 90.00 90.00
Space group P4_2/mnm (No. 136)
Unique sites:
1 U 0.151 0.151 0.000 (multiplicity 4)
2 U 0.179 0.179 0.500 (multiplicity 4)
3 Sn 0.000 0.500 0.250 (multiplicity 4)
4 Ir 0.136 0.864 0.275 (multiplicity 8)

Results
**Total energy**: -9.382 eV/atom

DFT (PBE) results for a relaxed NdNb3C crystal.

a b c (Å): 4.504 4.504 4.504
angles (deg): 90.00 90.00 90.00
Space group Pm-3m (No. 221)
Unique sites:
1 Nd 0.000 0.000 0.000 (multiplicity 1)
2 Nb 0.000 0.500 0.500 (multiplicity 3)
3 C 0.500 0.500 0.500 (multiplicity 1)

Results
**Total energy**: -8.697 eV/atom

DFT (PBE) results for a relaxed NdTcAsO crystal.

a b c (Å): 4.381 6.226 6.034
angles (deg): 90.00 90.00 90.00
Space group Pmc2_1 (No. 26)
Unique sites:
1 Nd 0.000 0.218 0.000 (multiplicity 2)
2 Tc 0.500 0.401 0.638 (multiplicity 2)
3 As 0.000 0.266 0.501 (multiplicity 2)
4 O 0.500 0.325 0.963 (multiplicity 2)

Results
**Energy above the lowest structure with this stoichiometry**: 629 meV per atom

DFT (PBE) results for a relaxed LiMgAg2 crystal.

a b c (Å): 4.6106 4.6106 8.1657
angles (deg): 90.00 90.00 120.00
Space group P6_3/mmc (No. 194)
Unique sites:
1 Li 0.0000 0.0000 0.2500 (multiplicity 2)
2 Mg 0.3333 0.6667 0.2500 (multiplicity 2)
3 Ag 0.3333 0.6667 0.5821 (multiplicity 4)

Results
**Total energy**: -2.355 eV/atom

DFT (PBE) results for a relaxed Sc3GaPd2 crystal.

a b c (Å): 3.319 3.319 10.070
angles (deg): 90.00 90.00 90.00
Space group P4/mmm (No. 123)
Unique sites:
1 Sc 0.000 0.000 0.000 (multiplicity 1)
2 Sc 0.000 0.000 0.327 (multiplicity 2)
3 Ga 0.500 0.500 0.500 (multiplicity 1)
4 Pd 0.500 0.500 0.168 (multiplicity 2)

Results
**Total energy**: -6.207 eV/atom

DFT (PBE) results for a relaxed Cu3Ag crystal.

a b c (Å): 17.318 2.681 4.629
angles (deg): 90.00 94.60 90.00
Space group C2/m (No. 12)
Unique sites:
1 Cu 0.000 0.000 0.000 (multiplicity 2)
2 Cu 0.000 0.500 0.500 (multiplicity 2)
3 Cu 0.123 0.000 0.374 (multiplicity 4)
4 Cu 0.246 0.500 0.265 (multiplicity 4)
5 Ag 0.127 0.500 0.873 (multiplicity 4)

Results
**E_form**: 0.091 eV/atom

DFT (PBE) results for a relaxed PaSnNO crystal.

a b c (Å): 4.898 4.898 5.221
angles (deg): 90.00 90.00 90.00
Space group P4/nmm (No. 129, origin choice 2)
Unique sites:
1 Pa 0.250 0.750 0.000 (multiplicity 2)
2 Sn 0.250 0.250 0.471 (multiplicity 2)
3 N 0.250 0.250 0.876 (multiplicity 2)
4 O 0.250 0.750 0.500 (multiplicity 2)

Results
**Energy above the lowest structure with this stoichiometry**: 252 meV per atom

DFT (PBE) results for a relaxed BaPmBi crystal.

a b c (Å): 7.826 7.826 7.826
angles (deg): 90.00 90.00 90.00
Space group F-43m (No. 216)
Unique sites:
1 Ba 0.000 0.000 0.000 (multiplicity 4)
2 Pm 0.250 0.250 0.250 (multiplicity 4)
3 Bi 0.000 0.000 0.500 (multiplicity 4)

Results
**Energy above the lowest structure with this stoichiometry**: 185 meV per atom

DFT (PBE) results for a relaxed Nd2Pd2Pb crystal.

a b c (Å): 8.010 8.010 3.812
angles (deg): 90.00 90.00 90.00
Space group P4/mbm (No. 127)
Unique sites:
1 Nd 0.175 0.325 0.000 (multiplicity 4)
2 Pd 0.124 0.624 0.500 (multiplicity 4)
3 Pb 0.000 0.000 0.500 (multiplicity 2)

Results
**Total energy**: -5.515 eV/atom

DFT (PBE) results for a relaxed Hf2ReOs crystal.

a b c (Å): 6.517 6.517 6.517
angles (deg): 90.00 90.00 90.00
Space group Fm-3m (No. 225)
Unique sites:
1 Hf 0.250 0.250 0.250 (multiplicity 8)
2 Re 0.000 0.000 0.000 (multiplicity 4)
3 Os 0.000 0.000 0.500 (multiplicity 4)

Results
**E_form**: -0.512 eV/atom
**Energy above the lowest structure with this stoichiometry**: 4 meV per atom

DFT (PBE) results for a relaxed MgOs crystal.

a b c (Å): 4.431 4.431 6.171
angles (deg): 90.00 90.00 90.00
Space group Pnma (No. 62)
Unique sites:
1 Mg 0.002 0.250 0.125 (multiplicity 4)
2 Os 0.001 0.250 0.625 (multiplicity 4)

Results
**Total energy**: -6.209 eV/atom

DFT (PBE) results for a relaxed BaLiSiAu crystal.

a b c (Å): 7.118 7.118 7.118
angles (deg): 90.00 90.00 90.00
Space group F-43m (No. 216)
Unique sites:
1 Ba 0.000 0.000 0.000 (multiplicity 4)
2 Li 0.250 0.250 0.750 (multiplicity 4)
3 Si 0.250 0.250 0.250 (multiplicity 4)
4 Au 0.000 0.000 0.500 (multiplicity 4)

Results
**Energy above the lowest structure with this stoichiometry**: 0 meV per atom